## CsIn2SnPb2 (GGA-PBE)

Data for an optimized crystal structure of CsIn2SnPb2.

Results
**Crystal system**: orthorhombic
**E_form**: 0.090 eV/atom

Lattice parameters (Å, degrees): 9.1457 11.9643 4.5566 90.00 90.00 90.00
Closest atoms and distances in Å follow each position.
Space group Pnnm (No. 58)
Inequivalent atoms, fractional coordinates:
1 Cs 0.0000 0.0000 0.0000 (multiplicity 2)  6 Pb 4.08-4.20, 4 In 4.51, 2 Cs 4.56
2 In 0.0078 0.3250 0.5000 (multiplicity 4)  3 Pb 2.98-3.03, 2 Sn 3.10
3 Sn 0.0000 0.5000 0.0000 (multiplicity 2)  4 In 3.10, 2 Pb 3.19
4 Pb 0.2227 0.2951 0.0000 (multiplicity 4)  3 In 2.98-3.03, 1 Sn 3.19